First-principles (PBEsol) data for a relaxed CdAgRh2 crystal, as listed in Alexandria.

The calculation puts the formation energy from the elements at 0.22 eV/atom.

The structure belongs to space group Cmmm (No. 65); the cell edges are 2.844, 4.676 and 9.312 Å and the angles 90.00°, 90.00° and 90.00°. The inequivalent atoms are Cd at (0.000, 0.000, 0.000), Ag at (0.000, 0.000, 0.500) and Rh at (0.000, 0.500, 0.250).

=====

First-principles (PBEsol) data for a relaxed MoAuBr2 crystal, as listed in Alexandria.

As for the uncorrected formation energy: 0.38 eV per atom.

The structure belongs to space group Cmm2 (No. 35); the cell edges are 3.116, 5.503 and 9.757 Å and the angles 90.00°, 90.00° and 90.00°. The inequivalent atoms are Mo at (0.000, 0.000, 0.000), Au at (0.000, 0.500, 0.223), Br at (0.000, 0.000, 0.457) and Br at (0.000, 0.500, 0.797).

=====

First-principles (PBEsol) data for a relaxed Ba3GaSe4Cl crystal, as listed in Alexandria.

As for the uncorrected formation energy: -1.75 eV per atom.

The structure belongs to space group Pnma (No. 62); the cell edges are 12.670, 9.838 and 8.676 Å and the angles 90.00°, 90.00° and 90.00°. The inequivalent atoms are Ba at (0.006, 0.250, 0.080), Ba at (0.170, 0.019, 0.576), Ga at (0.110, 0.750, 0.314), Se at (0.006, 0.750, 0.544), Se at (0.076, 0.541, 0.190), Se at (0.204, 0.250, 0.860) and Cl at (0.231, 0.750, 0.841).

=====

First-principles (PBEsol) data for a relaxed Hf2SiRuN crystal, as listed in Alexandria.

As for the uncorrected formation energy: 1.31 eV per atom. For the excess energy over the best structure of this formula in the dataset, the calculation gives 196.3 kJ per mole of atoms.

The structure belongs to space group P4/mmm (No. 123); the cell edges are 4.842, 4.842 and 4.134 Å and the angles 90.00°, 90.00° and 90.00°. The inequivalent atoms are Hf at (0.000, 0.500, 0.000), Si at (0.000, 0.000, 0.000), Ru at (0.000, 0.000, 0.500) and N at (0.500, 0.500, 0.500).

=====

First-principles (PBEsol) data for a relaxed EuFe2Si2 crystal, as listed in Alexandria.

As for the uncorrected formation energy: -0.57 eV per atom.

The structure belongs to space group I4/mmm (No. 139); the cell edges are 3.928, 3.928 and 9.787 Å and the angles 90.00°, 90.00° and 90.00°. The inequivalent atoms are Eu at (0.000, 0.000, 0.000), Fe at (0.000, 0.500, 0.250) and Si at (0.000, 0.000, 0.363).

=====

First-principles (PBEsol) data for a relaxed BePbAu2 crystal, as listed in Alexandria.

For the excess energy over the best structure of this formula in the dataset, the calculation gives 2.1 kJ per mole of atoms. The calculation puts the formation energy from the elements at 0.01 eV/atom.

The structure belongs to space group Pm (No. 6); the cell edges are 3.163, 3.610 and 6.608 Å and the angles 90.00°, 90.37° and 90.00°. The inequivalent atoms are Be at (0.000, 0.000, 0.000), Pb at (0.995, 0.500, 0.455), Au at (0.497, 0.000, 0.731) and Au at (0.501, 0.500, 0.064).

=====

First-principles (PBEsol) data for a relaxed Mn2FeRu crystal, as listed in Alexandria.

For the excess energy over the best structure of this formula in the dataset, the calculation gives 0.0 kJ per mole of atoms. The calculation puts the formation energy from the elements at 0.11 eV/atom.

The structure belongs to space group P4mm (No. 99); the cell edges are 2.527, 2.527 and 7.040 Å and the angles 90.00°, 90.00° and 90.00°. The inequivalent atoms are Mn at (0.000, 0.000, 0.000), Mn at (0.500, 0.500, 0.240), Fe at (0.500, 0.500, 0.764) and Ru at (0.000, 0.000, 0.500).

=====

First-principles (PBEsol) data for a relaxed ZrIn crystal, as listed in Alexandria.

The calculation puts the formation energy from the elements at -0.29 eV/atom.

The structure belongs to space group C2/m (No. 12); the cell edges are 11.239, 3.267 and 5.207 Å and the angles 90.00°, 115.13° and 90.00°. The inequivalent atoms are Zr at (0.124, 0.000, 0.433) and In at (0.127, 0.500, 0.943).

=====

First-principles (PBEsol) data for a relaxed KNiPt2 crystal, as listed in Alexandria.

For the excess energy over the best structure of this formula in the dataset, the calculation gives 30.1 kJ per mole of atoms. The calculation puts the formation energy from the elements at 0.64 eV/atom.

The structure belongs to space group P4/mmm (No. 123); the cell edges are 3.939, 3.939 and 4.214 Å and the angles 90.00°, 90.00° and 90.00°. The inequivalent atoms are K at (0.000, 0.000, 0.000), Ni at (0.500, 0.500, 0.000) and Pt at (0.000, 0.500, 0.500).

=====

First-principles (PBEsol) data for a relaxed SrCo2 crystal, as listed in Alexandria.

The calculation puts the formation energy from the elements at 0.31 eV/atom.

The structure belongs to space group Cmcm (No. 63); the cell edges are 3.998, 17.373 and 4.047 Å and the angles 90.00°, 90.00° and 90.00°. The inequivalent atoms are Sr at (0.000, 0.110, 0.250), Co at (0.000, 0.250, 0.750) and Co at (0.000, 0.309, 0.250).

=====

First-principles (PBEsol) data for a relaxed CoNi6Pt crystal, as listed in Alexandria.

The calculation puts the formation energy from the elements at -0.02 eV/atom.

The structure belongs to space group Cmmm (No. 65); the cell edges are 7.052, 10.002 and 10.017 Å and the angles 90.00°, 90.00° and 90.00°. The inequivalent atoms are Co at (0.000, 0.000, 0.247), Co at (0.000, 0.250, 0.000), Ni at (0.000, 0.000, 0.000), Ni at (0.000, 0.000, 0.500), Ni at (0.000, 0.246, 0.243), Ni at (0.000, 0.500, 0.000), Ni at (0.000, 0.500, 0.500), Ni at (0.244, 0.123, 0.370), Ni at (0.245, 0.127, 0.120), Pt at (0.000, 0.251, 0.500) and Pt at (0.000, 0.500, 0.247).

=====

First-principles (PBEsol) data for a relaxed TaTl3Co crystal, as listed in Alexandria.

The calculation puts the formation energy from the elements at 1.52 eV/atom.

The structure belongs to space group Pm-3m (No. 221); the cell edges are 5.341, 5.341 and 5.341 Å and the angles 90.00°, 90.00° and 90.00°. The inequivalent atoms are Ta at (0.000, 0.000, 0.000), Tl at (0.000, 0.000, 0.500) and Co at (0.500, 0.500, 0.500).

=====

First-principles (PBEsol) data for a relaxed Mo3W crystal, as listed in Alexandria.

For the excess energy over the best structure of this formula in the dataset, the calculation gives 0.4 kJ per mole of atoms. The calculation puts the formation energy from the elements at 0.00 eV/atom.

The structure belongs to space group Cmmm (No. 65); the cell edges are 3.129, 4.437 and 8.857 Å and the angles 90.00°, 90.00° and 90.00°. The inequivalent atoms are Mo at (0.000, 0.000, 0.000), Mo at (0.000, 0.500, 0.249) and W at (0.000, 0.000, 0.500).

=====

First-principles (PBEsol) data for a relaxed Rb2Tl2Cd crystal, as listed in Alexandria.

The calculation puts the formation energy from the elements at 0.31 eV/atom.

The structure belongs to space group I4/mmm (No. 139); the cell edges are 4.886, 4.886 and 16.295 Å and the angles 90.00°, 90.00° and 90.00°. The inequivalent atoms are Rb at (0.000, 0.500, 0.250), Tl at (0.000, 0.000, 0.088) and Cd at (0.000, 0.000, 0.500).

=====

First-principles (PBEsol) data for a relaxed Sr5Bi3 crystal, as listed in Alexandria.

For the excess energy over the best structure of this formula in the dataset, the calculation gives 1.5 kJ per mole of atoms. The calculation puts the formation energy from the elements at -0.90 eV/atom.

The structure belongs to space group Pnma (No. 62); the cell edges are 13.413, 10.173 and 8.814 Å and the angles 90.00°, 90.00° and 90.00°. The inequivalent atoms are Sr at (0.004, 0.250, 0.035), Sr at (0.079, 0.041, 0.690), Sr at (0.205, 0.750, 0.345), Sr at (0.227, 0.250, 0.319), Bi at (0.015, 0.750, 0.577) and Bi at (0.171, 0.510, 0.061).

=====

First-principles (PBEsol) data for a relaxed MnReAu3 crystal, as listed in Alexandria.

The calculation puts the formation energy from the elements at 1.78 eV/atom.

The structure belongs to space group Pm-3m (No. 221); the cell edges are 4.668, 4.668 and 4.668 Å and the angles 90.00°, 90.00° and 90.00°. The inequivalent atoms are Mn at (0.000, 0.000, 0.000), Re at (0.500, 0.500, 0.500) and Au at (0.000, 0.000, 0.500).

=====

First-principles (PBEsol) data for a relaxed Fe2SbSe crystal, as listed in Alexandria.

As for the uncorrected formation energy: 0.05 eV per atom. For the excess energy over the best structure of this formula in the dataset, the calculation gives 0.0 kJ per mole of atoms.

The structure belongs to space group Cm (No. 8); the cell edges are 7.667, 3.135 and 6.177 Å and the angles 90.00°, 102.90° and 90.00°. The inequivalent atoms are Fe at (0.000, 0.000, 0.000), Fe at (0.239, 0.500, 0.145), Sb at (0.244, 0.000, 0.773) and Se at (0.477, 0.000, 0.305).

=====

First-principles (PBEsol) data for a relaxed Zr3P crystal, as listed in Alexandria.

For the excess energy over the best structure of this formula in the dataset, the calculation gives 0.0 kJ per mole of atoms. The calculation puts the formation energy from the elements at -0.93 eV/atom.

The structure belongs to space group P4_2/n (No. 86, origin choice 2); the cell edges are 10.694, 10.694 and 5.302 Å and the angles 90.00°, 90.00° and 90.00°. The inequivalent atoms are Zr at (0.035, 0.929, 0.235), Zr at (0.113, 0.277, 0.028), Zr at (0.143, 0.835, 0.711) and P at (0.044, 0.291, 0.537).

=====

First-principles (PBEsol) data for a relaxed Ce2Zn4Ru crystal, as listed in Alexandria.

The calculation puts the formation energy from the elements at -0.31 eV/atom.

The structure belongs to space group P4/nmm (No. 129, origin choice 2); the cell edges are 7.037, 7.037 and 5.115 Å and the angles 90.00°, 90.00° and 90.00°. The inequivalent atoms are Ce at (0.250, 0.250, 0.219), Ce at (0.250, 0.750, 0.000), Zn at (0.066, 0.066, 0.708) and Ru at (0.250, 0.750, 0.500).

=====

First-principles (PBEsol) data for a relaxed TaCoP2S crystal, as listed in Alexandria.

As for the uncorrected formation energy: 0.81 eV per atom. For the excess energy over the best structure of this formula in the dataset, the calculation gives 26.5 kJ per mole of atoms.

The structure belongs to space group P4/mmm (No. 123); the cell edges are 4.765, 4.765 and 4.635 Å and the angles 90.00°, 90.00° and 90.00°. The inequivalent atoms are Ta at (0.000, 0.000, 0.000), Co at (0.500, 0.500, 0.500), P at (0.000, 0.500, 0.000) and S at (0.000, 0.000, 0.500).

=====

First-principles (PBEsol) data for a relaxed SrAlHg2 crystal, as listed in Alexandria.

The calculation puts the formation energy from the elements at -0.37 eV/atom.

The structure belongs to space group R-3m (No. 166, hexagonal axes); the cell edges are 4.5494, 4.5494 and 17.1742 Å and the angles 90.00°, 90.00° and 120.00°. The inequivalent atoms are Sr at (0.0000, 0.0000, 0.0000), Al at (0.0000, 0.0000, 0.5000) and Hg at (0.0000, 0.0000, 0.2189).

=====

First-principles (PBEsol) data for a relaxed Mg2AlAg crystal, as listed in Alexandria.

The calculation puts the formation energy from the elements at -0.08 eV/atom.

The structure belongs to space group Cmmm (No. 65); the cell edges are 6.008, 8.007 and 3.049 Å and the angles 90.00°, 90.00° and 90.00°. The inequivalent atoms are Mg at (0.250, 0.250, 0.000), Al at (0.000, 0.000, 0.500) and Ag at (0.000, 0.500, 0.500).

=====

| no. | spin magnetization (μB per cell) | Fermi-level density of states (states/eV/f.u.) |
| --- | --- | --- |
| 1 | 0.00 | 4.41 |
| 2 | 1.13 | 3.58 |
| 3 | 0.00 | 0.00 |
| 4 | 0.62 | 4.09 |
| 5 | 11.77 | 10.51 |
| 6 | 0.00 | 1.39 |
| 7 | 0.67 | 4.48 |
| 8 | 0.00 | 1.08 |
| 9 | 1.09 | 3.48 |
| 10 | 11.65 | 3.18 |
| 11 | 47.63 | 11.59 |
| 12 | 2.25 | 5.22 |
| 13 | 0.00 | 1.82 |
| 14 | 0.00 | 3.63 |
| 15 | 3.94 | 1.00 |
| 16 | 7.64 | 4.52 |
| 17 | 8.35 | 3.86 |
| 18 | 0.00 | 3.34 |
| 19 | 2.16 | 9.73 |
| 20 | 2.48 | 6.72 |
| 21 | 0.00 | 1.92 |
| 22 | 0.00 | 1.31 |